(1)
A plane-wave DFT calculation with GGA-PBE was carried out for a relaxed structure of KCoIr2.

Cell: 4.7916 4.7916 16.5885 Å, 90.00 90.00 90.00°
Sites, in units of the cell vectors:
K (0.0000, 0.0000, 0.0000)
K (0.0000, 0.5000, 0.2500)
K (0.5000, 0.0000, 0.7500)
K (0.5000, 0.5000, 0.5000)
Co (0.0000, 0.0000, 0.5000)
Co (0.0000, 0.5000, 0.7500)
Co (0.5000, 0.0000, 0.2500)
Co (0.5000, 0.5000, 0.0000)
Ir (0.0742, 0.2500, 0.6250)
Ir (0.2500, 0.5742, 0.8750)
Ir (0.2500, 0.9258, 0.3750)
Ir (0.4258, 0.2500, 0.1250)
Ir (0.5742, 0.7500, 0.1250)
Ir (0.7500, 0.0742, 0.3750)
Ir (0.7500, 0.4258, 0.8750)
Ir (0.9258, 0.7500, 0.6250)

Calculated values
D(E_F)   21.19 states/eV/cell
Energy   -87.91 eV/cell
Formation enthalpy at 0 K   0.987 eV/atom
Energy relative to the lowest polymorph listed for this composition   481 meV per atom


(2)
A plane-wave DFT calculation with GGA-PBE was carried out for a relaxed structure of KCoIr2.

Cell: 2.6973 3.7538 7.6186 Å, 90.00 90.00 90.00°
Sites, in units of the cell vectors:
K (0.0000, 0.0000, 0.0000)
Co (0.5000, 0.5000, 0.3390)
Ir (0.0000, 0.0000, 0.4878)
Ir (0.5000, 0.5000, 0.6644)

Calculated values
D(E_F)   4.81 states/eV/cell
Energy   -23.65 eV/cell
Formation enthalpy at 0 K   0.568 eV/atom
Energy relative to the lowest polymorph listed for this composition   62 meV per atom


(3)
A plane-wave DFT calculation with GGA-PBE was carried out for a relaxed structure of KCoIr2.

Cell: 3.8726 3.8726 4.5135 Å, 90.00 90.00 90.00°
Sites, in units of the cell vectors:
K (0.0000, 0.0000, 0.0000)
Co (0.5000, 0.5000, 0.0000)
Ir (0.0000, 0.5000, 0.5000)
Ir (0.5000, 0.0000, 0.5000)

Calculated values
D(E_F)   9.29 states/eV/cell
Energy   -20.78 eV/cell
Formation enthalpy at 0 K   1.286 eV/atom
Energy relative to the lowest polymorph listed for this composition   780 meV per atom


(4)
A plane-wave DFT calculation with GGA-PBE was carried out for a relaxed structure of KCoIr2.

Cell: 10.1331 2.7301 6.5083 Å, 90.00 111.99 90.00°
Sites, in units of the cell vectors:
K (0.0000, 0.0000, 0.0000)
K (0.5000, 0.5000, 0.0000)
Co (0.1768, 0.0000, 0.6867)
Co (0.6768, 0.5000, 0.6867)
Ir (0.2608, 0.5000, 0.4522)
Ir (0.4762, 0.0000, 0.4602)
Ir (0.7608, 0.0000, 0.4522)
Ir (0.9762, 0.5000, 0.4602)

Calculated values
D(E_F)   8.74 states/eV/cell
Energy   -47.18 eV/cell
Formation enthalpy at 0 K   0.584 eV/atom
Energy relative to the lowest polymorph listed for this composition   78 meV per atom


(5)
A plane-wave DFT calculation with GGA-PBE was carried out for a relaxed structure of KCoIr4.

Cell: 5.2862 5.2862 5.2862 Å, 60.00 60.00 60.00°
Sites, in units of the cell vectors:
K (0.0000, 0.0000, 0.0000)
Co (0.7500, 0.7500, 0.7500)
Ir (0.3755, 0.3755, 0.3755)
Ir (0.3755, 0.3755, 0.8736)
Ir (0.3755, 0.8736, 0.3755)
Ir (0.8736, 0.3755, 0.3755)

Calculated values
D(E_F)   9.11 states/eV/cell
Energy   -39.05 eV/cell
Formation enthalpy at 0 K   0.766 eV/atom


(6)
A plane-wave DFT calculation with GGA-PBE was carried out for a relaxed structure of KMg2CoIr.

Cell: 4.9389 4.9389 4.5299 Å, 90.00 90.00 90.00°
Sites, in units of the cell vectors:
K (0.0000, 0.0000, 0.0000)
Mg (0.0000, 0.5000, 0.5000)
Mg (0.5000, 0.0000, 0.5000)
Co (0.5000, 0.5000, 0.5000)
Ir (0.5000, 0.5000, 0.0000)

Calculated values
D(E_F)   1.78 states/eV/cell
Energy   -18.40 eV/cell
Formation enthalpy at 0 K   0.372 eV/atom